# 1
Below is an optimized crystal structure of BaFe2W, with properties calculated at the PBE level.

Properties
The offset from the most stable computed form is 62.9 kJ/mol of atoms. The calculation puts the total magnetic moment at 0.860 μB/atom. Its formation energy is 1.2300 eV per atom.

Cell and atoms, written as CIF:
```
data_BaFe2W
_cell_length_a 4.165
_cell_length_b 5.738
_cell_length_c 7.257
_cell_angle_alpha 90.00
_cell_angle_beta 90.00
_cell_angle_gamma 90.00
_space_group_name_H-M_alt 'I m m m'
_space_group_IT_number 71
_space_group_name_Hall '-I 2 2'
loop_
_atom_site_label
_atom_site_type_symbol
_atom_site_fract_x
_atom_site_fract_y
_atom_site_fract_z
Ba1 Ba 0.000 0.000 0.000
Fe1 Fe 0.000 0.500 0.181
W1 W 0.000 0.000 0.500
```

***

# 2
Below is an optimized crystal structure of BaFeW2, with properties calculated at the PBE level.

Properties
The offset from the most stable computed form is 25.8 kJ/mol of atoms. The calculation puts the total magnetic moment at 0.660 μB/atom. Its formation energy is 1.0512 eV per atom.

Cell and atoms, written as CIF:
```
data_BaFeW2
_cell_length_a 3.1542
_cell_length_b 3.1542
_cell_length_c 28.9787
_cell_angle_alpha 90.00
_cell_angle_beta 90.00
_cell_angle_gamma 120.00
_space_group_name_H-M_alt 'R 3 m'
_space_group_IT_number 160
_space_group_name_Hall 'R 3 -2"'
loop_
_atom_site_label
_atom_site_type_symbol
_atom_site_fract_x
_atom_site_fract_y
_atom_site_fract_z
Ba1 Ba 0.0000 0.0000 0.0000
Fe1 Fe 0.0000 0.0000 0.7646
W1 W 0.0000 0.0000 0.2262
W2 W 0.0000 0.0000 0.4954
```

***

# 3
Below is an optimized crystal structure of BaFeW2, with properties calculated at the PBE level.

Properties
The offset from the most stable computed form is 80.8 kJ/mol of atoms. The calculation puts the total magnetic moment at 0.363 μB/atom. Its formation energy is 1.6210 eV per atom.

Cell and atoms, written as CIF:
```
data_BaFeW2
_cell_length_a 3.852
_cell_length_b 3.852
_cell_length_c 5.385
_cell_angle_alpha 90.00
_cell_angle_beta 90.00
_cell_angle_gamma 90.00
_space_group_name_H-M_alt 'P 4/m m m'
_space_group_IT_number 123
_space_group_name_Hall '-P 4 2'
loop_
_atom_site_label
_atom_site_type_symbol
_atom_site_fract_x
_atom_site_fract_y
_atom_site_fract_z
Ba1 Ba 0.000 0.000 0.000
Fe1 Fe 0.500 0.500 0.000
W1 W 0.000 0.500 0.500
```

***

# 4
Below is an optimized crystal structure of BaFeW, with properties calculated at the PBE level.

Properties
The offset from the most stable computed form is 0.0 kJ/mol of atoms. The calculation puts the total magnetic moment at 0.184 μB/atom. Its formation energy is 0.8164 eV per atom.

Cell and atoms, written as CIF:
```
data_BaFeW
_cell_length_a 3.243
_cell_length_b 3.243
_cell_length_c 12.721
_cell_angle_alpha 90.00
_cell_angle_beta 90.00
_cell_angle_gamma 90.00
_space_group_name_H-M_alt 'I 4 m m'
_space_group_IT_number 107
_space_group_name_Hall 'I 4 -2'
loop_
_atom_site_label
_atom_site_type_symbol
_atom_site_fract_x
_atom_site_fract_y
_atom_site_fract_z
Ba1 Ba 0.000 0.000 0.000
Fe1 Fe 0.000 0.000 0.289
W1 W 0.000 0.000 0.723
```

***

- Which of these has the lowest total magnetic moment?
  BaFeW

***

- Number 1 is which compound?
  BaFe2W

***

- What is the offset from the most stable computed form in the first record?
  62.9 kJ/mol of atoms